A relaxed structure of SrCr2IO8. Source: Alexandria, functional PBE with a Hubbard U.

Output
The value obtained for the total energy is -6.15 eV/atom. As for the crystal system: triclinic. As for the symmetry: P-1 (2). The value obtained for the density of states at the Fermi level is 1.8 states/eV/cell.

Unit cell a=5.6188 b=5.2795 c=8.6205 alpha=84.79 beta=79.17 gamma=68.74
Last column: nearest neighbours and their distance in Å.
Element x y z (fractional)
O 0.7671 0.7747 0.0930  1 Cr 1.73
O 0.1803 0.7188 0.7421  1 Cr 1.69
O 0.7786 0.7182 0.4142  1 Cr 1.64
O 0.3649 0.7118 0.3064  1 Cr 1.64
O 0.2329 0.2253 0.9070  1 Cr 1.73
O 0.8197 0.2812 0.2579  1 Cr 1.69
O 0.2214 0.2818 0.5858  1 Cr 1.64
O 0.6351 0.2882 0.6936  1 Cr 1.64
Sr 0.0000 0.0000 0.5000  6 O 2.49-2.59
Cr 0.3184 0.3779 0.7304  4 O 1.64-1.73
Cr 0.6816 0.6221 0.2696  4 O 1.64-1.73
I 0.0000 0.0000 0.0000  2 O 2.08